[1]
## CdRe2Sb (GGA-PBE)

Data for a relaxed structure of CdRe2Sb.

Calculated values
Magnetic moment ... 0.5 μB per cell
Polymorph energy (0 for the lowest one) ... 0.513 eV/atom
Crystal system ... trigonal
E ... -6.7092 eV per atom

```
CdRe2Sb
1.0
1.511 0.872 9.007
-1.511 0.872 9.007
0.000 -1.745 9.007
Cd Re Sb
1 2 1
Direct
0.000 0.000 0.000 Cd
0.245 0.245 0.245 Re
0.755 0.755 0.755 Re
0.500 0.500 0.500 Sb
```


[2]
## CdReSb2 (GGA-PBE)

Data for a relaxed structure of CdReSb2.

Calculated values
Magnetic moment ... 0.0 μB per cell
Crystal system ... tetragonal
E ... -4.7520 eV per atom

```
CdReSb2
1.0
-3.215 3.215 6.101
3.215 -3.215 6.101
3.215 3.215 -6.101
Cd Re Sb
2 2 4
Direct
0.000 0.000 0.000 Cd
0.750 0.250 0.500 Cd
0.250 0.750 0.500 Re
0.500 0.500 0.000 Re
0.171 0.625 0.046 Sb
0.375 0.421 0.546 Sb
0.579 0.125 0.954 Sb
0.875 0.829 0.454 Sb
```


[3]
## CdReSb2 (GGA-PBE)

Data for a relaxed structure of CdReSb2.

Calculated values
Magnetic moment ... 0.0 μB per cell
Crystal system ... tetragonal
E ... -4.9474 eV per atom

```
CdReSb2
1.0
3.213 0.000 0.000
0.000 3.213 0.000
0.000 0.000 8.706
Cd Re Sb
1 1 2
Direct
0.000 0.000 0.000 Cd
0.500 0.500 0.216 Re
0.000 0.000 0.392 Sb
0.500 0.500 0.718 Sb
```


[4]
## CdReSb2 (GGA-PBE)

Data for a relaxed structure of CdReSb2.

Calculated values
Magnetic moment ... 0.0 μB per cell
Crystal system ... orthorhombic
E ... -4.9003 eV per atom

```
CdReSb2
1.0
1.618 -2.670 0.000
1.618 2.670 0.000
0.000 0.000 11.078
Cd Re Sb
1 1 2
Direct
0.000 0.000 0.000 Cd
0.000 0.000 0.500 Re
0.500 0.500 0.300 Sb
0.500 0.500 0.700 Sb
```


[5]
## CdRe2Sb (GGA-PBE)

Data for a relaxed structure of CdRe2Sb.

Calculated values
Magnetic moment ... 0.0 μB per cell
Polymorph energy (0 for the lowest one) ... 0.713 eV/atom
Crystal system ... orthorhombic
E ... -6.5089 eV per atom

```
CdRe2Sb
1.0
1.577 -2.541 0.000
1.577 2.541 0.000
0.000 0.000 9.100
Cd Re Sb
1 2 1
Direct
0.000 0.000 0.000 Cd
0.500 0.500 0.266 Re
0.500 0.500 0.734 Re
0.000 0.000 0.500 Sb
```


[6]
## CdRe2Sb (GGA-PBE)

Data for a relaxed structure of CdRe2Sb.

Calculated values
Magnetic moment ... 0.0 μB per cell
Polymorph energy (0 for the lowest one) ... 0.017 eV/atom
Crystal system ... tetragonal
E ... -7.2051 eV per atom

```
CdRe2Sb
1.0
3.034 0.000 0.000
0.000 3.034 0.000
0.000 0.000 8.732
Cd Re Sb
1 2 1
Direct
0.000 0.000 0.000 Cd
0.000 0.000 0.405 Re
0.500 0.500 0.233 Re
0.500 0.500 0.634 Sb
```